1.
Mg2Cd2SnPd5 after structural relaxation. Source: Alexandria, functional PBE.

Cell and atoms, written as POSCAR:
```
Mg2Cd2SnPd5
1.0
9.7228 0.0000 0.0000
0.0000 9.7228 0.0000
0.0000 0.0000 3.7960
Mg Cd Sn Pd
4 4 2 10
direct
0.1295 0.3705 0.0000
0.3705 0.8705 0.0000
0.6295 0.1295 0.0000
0.8705 0.6295 0.0000
0.1667 0.6667 0.0000
0.3333 0.1667 0.0000
0.6667 0.8333 0.0000
0.8333 0.3333 0.0000
0.0000 0.0000 0.0000
0.5000 0.5000 0.0000
0.0000 0.5000 0.5000
0.1000 0.1839 0.5000
0.1839 0.9000 0.5000
0.3161 0.4000 0.5000
0.4000 0.6839 0.5000
0.5000 0.0000 0.5000
0.6000 0.3161 0.5000
0.6839 0.6000 0.5000
0.8161 0.1000 0.5000
0.9000 0.8161 0.5000
```

- ΔE_f (eV/atom) = -0.403

***

2.
PrNd2Th after structural relaxation. Source: Alexandria, functional PBE.

Cell and atoms, written as POSCAR:
```
PrNd2Th
1.0
1.7724 1.0233 12.8587
-1.7724 1.0233 12.8587
0.0000 -2.0466 12.8587
Pr Nd Th
1 2 1
direct
0.0000 0.0000 0.0000
0.4115 0.4115 0.4115
0.5885 0.5885 0.5885
0.5000 0.5000 0.5000
```

- ΔE_f (eV/atom) = 0.201
- E above lowest polymorph (meV per atom) = 177

***

3.
LiTe2Se after structural relaxation. Source: Alexandria, functional PBE.

Cell and atoms, written as POSCAR:
```
LiTe2Se
1.0
5.1883 0.0000 0.0000
0.0000 4.1389 0.0000
-1.4020 0.0000 5.0078
Li Te Se
1 2 1
direct
0.0000 0.0000 0.0000
0.4526 0.0000 0.5498
0.7086 0.5000 0.2948
0.2048 0.5000 0.7985
```

- total DFT energy (no corrections) (eV/atom) = -3.245

***

4.
Ir3Os after structural relaxation. Source: Alexandria, functional PBE.

Cell and atoms, written as POSCAR:
```
Ir3Os
1.0
3.8670 0.0000 0.0000
0.0000 3.8670 0.0000
0.0000 0.0000 3.8670
Ir Os
3 1
direct
0.0000 0.0000 0.5000
0.0000 0.5000 0.0000
0.5000 0.0000 0.0000
0.5000 0.5000 0.5000
```

- ΔE_f (eV/atom) = 0.038

***

5.
Ta2BeOs after structural relaxation. Source: Alexandria, functional PBE.

Cell and atoms, written as POSCAR:
```
Ta2BeOs
1.0
-1.8755 1.8755 4.3531
1.8755 -1.8755 4.3531
1.8755 1.8755 -4.3531
Ta Be Os
2 1 1
direct
0.0000 0.0000 0.0000
0.7500 0.2500 0.5000
0.2500 0.7500 0.5000
0.5000 0.5000 0.0000
```

- ΔE_f (eV/atom) = -0.008

***

6.
TaCoCu2 after structural relaxation. Source: Alexandria, functional PBE.

Cell and atoms, written as POSCAR:
```
TaCoCu2
1.0
1.3489 0.7788 8.6989
-1.3489 0.7788 8.6989
0.0000 -1.5576 8.6989
Ta Co Cu
1 1 2
direct
0.0000 0.0000 0.0000
0.5000 0.5000 0.5000
0.2440 0.2440 0.2440
0.7560 0.7560 0.7560
```

- ΔE_f (eV/atom) = 0.274
- E above lowest polymorph (meV per atom) = 249

***

7.
ZrAlPb after structural relaxation. Source: Alexandria, functional PBE.

Cell and atoms, written as POSCAR:
```
ZrAlPb
1.0
5.0153 0.0000 0.0000
-2.5076 4.3434 0.0000
0.0000 0.0000 3.0545
Zr Al Pb
1 1 1
direct
0.0000 0.0000 0.0000
0.6667 0.3333 0.5020
0.3333 0.6667 0.4987
```

- ΔE_f (eV/atom) = 0.077
- E above lowest polymorph (meV per atom) = 124

***

8.
SmAlOs2C after structural relaxation. Source: Alexandria, functional PBE.

Cell and atoms, written as POSCAR:
```
SmAlOs2C
1.0
2.0317 -5.5390 0.0000
2.0317 5.5390 0.0000
0.0000 0.0000 7.2692
Sm Al Os C
2 2 4 2
direct
0.0502 0.9498 0.7500
0.9498 0.0502 0.2500
0.2289 0.7711 0.2500
0.7711 0.2289 0.7500
0.3337 0.6663 0.5614
0.3337 0.6663 0.9386
0.6663 0.3337 0.0614
0.6663 0.3337 0.4386
0.5000 0.5000 0.0000
0.5000 0.5000 0.5000
```

- ΔE_f (eV/atom) = -0.331

***

9.
Eu2InPb after structural relaxation. Source: Alexandria, functional PBE.

Cell and atoms, written as POSCAR:
```
Eu2InPb
1.0
1.9169 1.1067 10.4429
-1.9169 1.1067 10.4429
0.0000 -2.2135 10.4429
Eu In Pb
2 1 1
direct
0.2503 0.2503 0.2503
0.7497 0.7497 0.7497
0.0000 0.0000 0.0000
0.5000 0.5000 0.5000
```

- ΔE_f (eV/atom) = -0.332

***

10.
BaTaRh after structural relaxation. Source: Alexandria, functional PBE.

Cell and atoms, written as POSCAR:
```
BaTaRh
1.0
-1.7235 1.7235 6.4564
1.7235 -1.7235 6.4564
1.7235 1.7235 -6.4564
Ba Ta Rh
1 1 1
direct
0.0000 0.0000 0.0000
0.2765 0.2765 0.0000
0.7072 0.7072 0.0000
```

- ΔE_f (eV/atom) = 0.160
- E above lowest polymorph (meV per atom) = 0

***

Sequential V output: 358.8, 139.9, 107.5, 57.8, 61.2, 54.8, 66.5, 163.6, 132.9, 76.7 Å³ per cell